{"formula": "YBe2Tc", "functional": "PBE-GGA", "state": "optimized geometry", "space_group": "No. 166", "dos_ef_per_ev_atom": 0.616, "final_energy_ev_per_atom": -6.095, "lattice": [[1.957, 1.130, 4.789], [-1.957, 1.130, 4.789], [0.000, -2.260, 4.789]], "species": ["Y", "Be", "Be", "Tc"], "fractional_positions": [[0.000, 0.000, 0.000], [0.196, 0.196, 0.196], [0.804, 0.804, 0.804], [0.500, 0.500, 0.500]]}

{"formula": "Ce3Ti12Al5", "functional": "PBE-GGA", "state": "optimized geometry", "space_group": "No. 230", "dos_ef_per_ev_atom": 1.719, "final_energy_ev_per_atom": -5.636, "lattice": [[-7.660, 7.660, 7.660], [7.660, -7.660, 7.660], [7.660, 7.660, -7.660]], "species": ["Ce", "Ce", "Ce", "Ce", "Ce", "Ce", "Ce", "Ce", "Ce", "Ce", "Ce", "Ce", "Ti", "Ti", "Ti", "Ti", "Ti", "Ti", "Ti", "Ti", "Ti", "Ti", "Ti", "Ti", "Ti", "Ti", "Ti", "Ti", "Ti", "Ti", "Ti", "Ti", "Ti", "Ti", "Ti", "Ti", "Ti", "Ti", "Ti", "Ti", "Ti", "Ti", "Ti", "Ti", "Ti", "Ti", "Ti", "Ti", "Ti", "Ti", "Ti", "Ti", "Ti", "Ti", "Ti", "Ti", "Ti", "Ti", "Ti", "Ti", "Al", "Al", "Al", "Al", "Al", "Al", "Al", "Al", "Al", "Al", "Al", "Al", "Al", "Al", "Al", "Al", "Al", "Al", "Al", "Al"], "fractional_positions": [[0.125, 0.250, 0.375], [0.125, 0.375, 0.750], [0.250, 0.375, 0.125], [0.250, 0.875, 0.625], [0.375, 0.125, 0.250], [0.375, 0.750, 0.125], [0.625, 0.250, 0.875], [0.625, 0.875, 0.750], [0.750, 0.125, 0.375], [0.750, 0.625, 0.875], [0.875, 0.625, 0.250], [0.875, 0.750, 0.625], [0.057, 0.623, 0.391], [0.057, 0.934, 0.666], [0.066, 0.232, 0.123], [0.066, 0.334, 0.943], [0.109, 0.732, 0.666], [0.109, 0.877, 0.443], [0.123, 0.066, 0.232], [0.123, 0.557, 0.891], [0.166, 0.232, 0.609], [0.166, 0.434, 0.557], [0.232, 0.123, 0.066], [0.232, 0.609, 0.166], [0.268, 0.334, 0.891], [0.268, 0.434, 0.377], [0.334, 0.891, 0.268], [0.334, 0.943, 0.066], [0.377, 0.268, 0.434], [0.377, 0.609, 0.943], [0.391, 0.057, 0.623], [0.391, 0.834, 0.768], [0.434, 0.377, 0.268], [0.434, 0.557, 0.166], [0.443, 0.109, 0.877], [0.443, 0.834, 0.566], [0.557, 0.166, 0.434], [0.557, 0.891, 0.123], [0.566, 0.443, 0.834], [0.566, 0.623, 0.732], [0.609, 0.166, 0.232], [0.609, 0.943, 0.377], [0.623, 0.391, 0.057], [0.623, 0.732, 0.566], [0.666, 0.057, 0.934], [0.666, 0.109, 0.732], [0.732, 0.566, 0.623], [0.732, 0.666, 0.109], [0.768, 0.391, 0.834], [0.768, 0.877, 0.934], [0.834, 0.566, 0.443], [0.834, 0.768, 0.391], [0.877, 0.443, 0.109], [0.877, 0.934, 0.768], [0.891, 0.123, 0.557], [0.891, 0.268, 0.334], [0.934, 0.666, 0.057], [0.934, 0.768, 0.877], [0.943, 0.066, 0.334], [0.943, 0.377, 0.609], [0.000, 0.000, 0.000], [0.000, 0.000, 0.500], [0.000, 0.500, 0.000], [0.000, 0.500, 0.500], [0.125, 0.750, 0.875], [0.125, 0.875, 0.250], [0.250, 0.125, 0.875], [0.250, 0.625, 0.375], [0.375, 0.250, 0.625], [0.375, 0.625, 0.750], [0.500, 0.000, 0.000], [0.500, 0.000, 0.500], [0.500, 0.500, 0.000], [0.500, 0.500, 0.500], [0.625, 0.375, 0.250], [0.625, 0.750, 0.375], [0.750, 0.375, 0.625], [0.750, 0.875, 0.125], [0.875, 0.125, 0.750], [0.875, 0.250, 0.125]]}

Summary of magnetic moment in μB per atom
0.00 0.00
(order as listed above)
Summary of ΔH_f (0 K) in eV per atom
-0.024 0.927
(order as listed above)
Summary of volume in Å³/atom
15.88 22.47
(order as listed above)